# 1
Computed, not measured: a geometry-optimized Na6In5 structure at the GGA-PBE level of DFT.

Cell: 8.1135 8.1135 8.9116 Å, 90.00 90.00 145.44°
Positions (direct):
Na 0.0000 0.0000 0.1875
Na 0.0000 0.0000 0.8125
Na 0.3318 0.6682 0.2644
Na 0.3318 0.6682 0.7356
Na 0.6682 0.3318 0.2644
Na 0.6682 0.3318 0.7356
In 0.1184 0.8816 0.5000
In 0.1870 0.8130 0.0000
In 0.5000 0.5000 0.5000
In 0.8130 0.1870 0.0000
In 0.8816 0.1184 0.5000

* energy of formation: -76 meV/atom
* raw total energy: -22.44 eV per formula unit

***

# 2
Computed, not measured: a geometry-optimized Na7In structure at the GGA-PBE level of DFT.

Cell: 7.1860 7.1860 7.1860 Å, 60.00 60.00 60.00°
Positions (direct):
Na 0.0000 0.0000 0.0000
Na 0.0000 0.0000 0.5000
Na 0.0000 0.5000 0.0000
Na 0.0000 0.5000 0.5000
Na 0.5000 0.0000 0.0000
Na 0.5000 0.0000 0.5000
Na 0.5000 0.5000 0.0000
In 0.5000 0.5000 0.5000

* energy of formation: -20 meV/atom
* raw total energy: -12.13 eV per formula unit

***

# 3
Computed, not measured: a geometry-optimized NaIn11 structure at the GGA-PBE level of DFT.

Cell: 10.8876 10.8876 3.2020 Å, 90.00 90.00 120.00°
Positions (direct):
Na 0.0000 0.0000 0.0000
In 0.0000 0.5000 0.0000
In 0.1720 0.3440 0.5000
In 0.1720 0.8280 0.5000
In 0.3333 0.6667 0.0000
In 0.3440 0.1720 0.5000
In 0.5000 0.0000 0.0000
In 0.5000 0.5000 0.0000
In 0.6560 0.8280 0.5000
In 0.6667 0.3333 0.0000
In 0.8280 0.1720 0.5000
In 0.8280 0.6560 0.5000

* energy of formation: -7 meV/atom
* raw total energy: -31.52 eV per formula unit

***

# 4
Computed, not measured: a geometry-optimized NaIn6 structure at the GGA-PBE level of DFT.

Cell: 7.0866 7.0866 7.0866 Å, 109.47 109.47 109.47°
Positions (direct):
Na 0.0000 0.0000 0.0000
In 0.2500 0.5000 0.7500
In 0.2500 0.7500 0.5000
In 0.5000 0.2500 0.7500
In 0.5000 0.7500 0.2500
In 0.7500 0.2500 0.5000
In 0.7500 0.5000 0.2500

* energy of formation: 237 meV/atom
* raw total energy: -16.09 eV per formula unit

***

# 5
Computed, not measured: a geometry-optimized Na4In5 structure at the GGA-PBE level of DFT.

Cell: 5.2401 5.2401 9.8820 Å, 92.25 92.25 60.89°
Positions (direct):
Na 0.0028 0.0028 0.1664
Na 0.3288 0.3288 0.7121
Na 0.6712 0.6712 0.2879
Na 0.9972 0.9972 0.8336
In 0.0000 0.0000 0.5000
In 0.3354 0.3354 0.0478
In 0.3380 0.3380 0.3776
In 0.6620 0.6620 0.6224
In 0.6646 0.6646 0.9522

* energy of formation: -108 meV/atom
* raw total energy: -19.94 eV per formula unit

***

# 6
Computed, not measured: a geometry-optimized NaIn4 structure at the GGA-PBE level of DFT.

Cell: 5.5314 5.5314 5.5314 Å, 90.00 90.00 90.00°
Positions (direct):
Na 0.0000 0.0000 0.0000
In 0.0000 0.0000 0.5000
In 0.0000 0.5000 0.0000
In 0.5000 0.0000 0.0000
In 0.5000 0.5000 0.5000

* energy of formation: 453 meV/atom
* raw total energy: -10.01 eV per formula unit

***

# 7
Computed, not measured: a geometry-optimized Na13In3 structure at the GGA-PBE level of DFT.

Cell: 10.2505 7.0192 7.0192 Å, 89.71 90.00 90.00°
Positions (direct):
Na 0.0000 0.0000 0.0000
Na 0.0000 0.0007 0.4744
Na 0.0000 0.4744 0.0007
Na 0.0000 0.4778 0.4778
Na 0.2573 0.2375 0.7414
Na 0.2573 0.7414 0.2375
Na 0.2611 0.7510 0.7510
Na 0.5000 0.4701 0.4701
Na 0.5000 0.4808 0.9988
Na 0.5000 0.9988 0.4808
Na 0.7389 0.7510 0.7510
Na 0.7427 0.2375 0.7414
Na 0.7427 0.7414 0.2375
In 0.2548 0.2306 0.2306
In 0.5000 0.0028 0.0028
In 0.7452 0.2306 0.2306

* energy of formation: -32 meV/atom
* raw total energy: -25.88 eV per formula unit

***

# 8
Computed, not measured: a geometry-optimized Na7In2 structure at the GGA-PBE level of DFT.

Cell: 6.0624 6.0624 8.7828 Å, 90.00 90.00 120.00°
Positions (direct):
Na 0.0000 0.0000 0.0000
Na 0.0000 0.3451 0.6795
Na 0.0000 0.6549 0.3205
Na 0.3451 0.0000 0.6795
Na 0.3451 0.3451 0.3205
Na 0.6549 0.0000 0.3205
Na 0.6549 0.6549 0.6795
In 0.3333 0.6667 0.0000
In 0.6667 0.3333 0.0000

* energy of formation: -24 meV/atom
* raw total energy: -14.93 eV per formula unit

***

# 9
Computed, not measured: a geometry-optimized Na2In7 structure at the GGA-PBE level of DFT.

Cell: 16.0218 16.0218 16.0218 Å, 22.56 22.56 22.56°
Positions (direct):
Na 0.0512 0.0512 0.0512
Na 0.1495 0.1495 0.1495
Na 0.8505 0.8505 0.8505
Na 0.9488 0.9488 0.9488
In 0.0000 0.5000 0.5000
In 0.1066 0.6175 0.6175
In 0.2767 0.2767 0.2767
In 0.3825 0.3825 0.8934
In 0.3825 0.8934 0.3825
In 0.3921 0.3921 0.3921
In 0.5000 0.0000 0.5000
In 0.5000 0.5000 0.0000
In 0.5000 0.5000 0.5000
In 0.6079 0.6079 0.6079
In 0.6175 0.1066 0.6175
In 0.6175 0.6175 0.1066
In 0.7233 0.7233 0.7233
In 0.8934 0.3825 0.3825

* energy of formation: -22 meV/atom
* raw total energy: -22.00 eV per formula unit

***

# 10
Computed, not measured: a geometry-optimized Na5In3 structure at the GGA-PBE level of DFT.

Cell: 9.7289 9.7289 9.7289 Å, 32.20 32.20 32.20°
Positions (direct):
Na 0.0000 0.0000 0.0000
Na 0.2406 0.2406 0.2406
Na 0.3814 0.3814 0.3814
Na 0.6186 0.6186 0.6186
Na 0.7594 0.7594 0.7594
In 0.1225 0.1225 0.1225
In 0.5000 0.5000 0.5000
In 0.8775 0.8775 0.8775

* energy of formation: -50 meV/atom
* raw total energy: -15.21 eV per formula unit

***

# 11
Computed, not measured: a geometry-optimized Na4In structure at the GGA-PBE level of DFT.

Cell: 9.2053 9.2053 6.2901 Å, 109.83 109.83 120.51°
Positions (direct):
Na 0.0363 0.2239 0.1305
Na 0.1825 0.5448 0.8643
Na 0.2239 0.0363 0.6305
Na 0.4552 0.8175 0.6357
Na 0.5448 0.1825 0.3643
Na 0.7761 0.9637 0.3695
Na 0.8175 0.4552 0.1357
Na 0.9637 0.7761 0.8695
In 0.5002 0.4998 0.2500
In 0.4998 0.5002 0.7500

* energy of formation: -25 meV/atom
* raw total energy: -8.14 eV per formula unit

***

# 12
Computed, not measured: a geometry-optimized Na2In7 structure at the GGA-PBE level of DFT.

Cell: 5.7563 5.7563 8.3935 Å, 90.00 90.00 120.00°
Positions (direct):
Na 0.3333 0.6667 0.0000
Na 0.6667 0.3333 0.0000
In 0.0000 0.0000 0.0000
In 0.0000 0.3273 0.6714
In 0.0000 0.6727 0.3286
In 0.3273 0.0000 0.6714
In 0.3273 0.3273 0.3286
In 0.6727 0.0000 0.3286
In 0.6727 0.6727 0.6714

* energy of formation: -44 meV/atom
* raw total energy: -22.20 eV per formula unit

***

# 13
Computed, not measured: a geometry-optimized Na3In structure at the GGA-PBE level of DFT.

Cell: 3.4050 5.5927 6.4248 Å, 90.00 98.74 90.00°
Positions (direct):
Na 0.0000 0.0000 0.0000
Na 0.2372 0.5000 0.7329
Na 0.7628 0.5000 0.2671
In 0.5000 0.0000 0.5000

* energy of formation: -32 meV/atom
* raw total energy: -6.82 eV per formula unit

***

# 14
Computed, not measured: a geometry-optimized NaNbIn3 structure at the GGA-PBE level of DFT.

Cell: 5.4529 5.4529 5.4529 Å, 90.00 90.00 90.00°
Positions (direct):
Na 0.0000 0.0000 0.0000
Nb 0.5000 0.5000 0.5000
In 0.0000 0.5000 0.5000
In 0.5000 0.0000 0.5000
In 0.5000 0.5000 0.0000

* energy of formation: 340 meV/atom
* raw total energy: -17.90 eV per formula unit

***

# 15
Computed, not measured: a geometry-optimized NaNbIn2 structure at the GGA-PBE level of DFT.

Cell: 3.0153 3.0153 9.7635 Å, 90.00 90.00 90.00°
Positions (direct):
Na 0.0000 0.0000 0.0000
Nb 0.0000 0.0000 0.5000
In 0.5000 0.5000 0.2703
In 0.5000 0.5000 0.7297

* energy of formation: 27 meV/atom
* raw total energy: -16.76 eV per formula unit

***

# 16
Computed, not measured: a geometry-optimized NaNb3In structure at the GGA-PBE level of DFT.

Cell: 5.1575 5.1575 5.1575 Å, 90.00 90.00 90.00°
Positions (direct):
Na 0.0000 0.0000 0.0000
Nb 0.0000 0.5000 0.5000
Nb 0.5000 0.0000 0.5000
Nb 0.5000 0.5000 0.0000
In 0.5000 0.5000 0.5000

* energy of formation: 1869 meV/atom
* raw total energy: -24.92 eV per formula unit

***

# 17
Computed, not measured: a geometry-optimized NaNbIn2 structure at the GGA-PBE level of DFT.

Cell: 5.0060 5.0060 5.0060 Å, 60.00 60.00 60.00°
Positions (direct):
Na 0.0000 0.0000 0.0000
Nb 0.5000 0.5000 0.5000
In 0.2500 0.2500 0.2500
In 0.7500 0.7500 0.7500

* energy of formation: 301 meV/atom
* raw total energy: -15.66 eV per formula unit

***

# 18
Computed, not measured: a geometry-optimized Na3NbIn structure at the GGA-PBE level of DFT.

Cell: 5.6799 5.6799 5.6799 Å, 90.00 90.00 90.00°
Positions (direct):
Na 0.0000 0.0000 0.5000
Na 0.0000 0.5000 0.0000
Na 0.5000 0.0000 0.0000
Nb 0.5000 0.5000 0.5000
In 0.0000 0.0000 0.0000

* energy of formation: 1146 meV/atom
* raw total energy: -11.04 eV per formula unit

***

# 19
Computed, not measured: a geometry-optimized NaNbIn structure at the GGA-PBE level of DFT.

Cell: 3.4895 3.4895 12.0207 Å, 90.00 90.00 90.00°
Positions (direct):
Na 0.2500 0.2500 0.1164
Na 0.7500 0.7500 0.8836
Nb 0.2500 0.2500 0.4467
Nb 0.7500 0.7500 0.5533
In 0.2500 0.2500 0.7019
In 0.7500 0.7500 0.2981

* energy of formation: 27 meV/atom
* raw total energy: -14.05 eV per formula unit

***

# 20
Computed, not measured: a geometry-optimized NaNbIn2 structure at the GGA-PBE level of DFT.

Cell: 5.2487 5.2487 3.0906 Å, 90.00 90.00 90.00°
Positions (direct):
Na 0.0000 0.0000 0.0000
Nb 0.5000 0.5000 0.0000
In 0.0000 0.5000 0.5000
In 0.5000 0.0000 0.5000

* energy of formation: 77 meV/atom
* raw total energy: -16.56 eV per formula unit